# 1
Computed, not measured: a relaxed SiPbCl3 crystal at the PBE-GGA level of DFT.

a = 5.075 Å, b = 5.075 Å, c = 5.075 Å
α = 90.00°, β = 90.00°, γ = 90.00°
Space group Pm-3m (No. 221)
One atom of each set of equivalent atoms:
Si1 0.000 0.000 0.000 [1 per cell]
Pb1 0.500 0.500 0.500 [1 per cell]
Cl1 0.000 0.000 0.500 [3 per cell]

Values from the calculation:
Energy relative to the lowest polymorph listed for this composition ... 0.000 eV/atom
Uncorrected formation energy ... -350 meV/atom

# 2
Computed, not measured: a relaxed Si2PbCl crystal at the PBE-GGA level of DFT.

a = 3.270 Å, b = 3.411 Å, c = 8.943 Å
α = 90.00°, β = 90.00°, γ = 90.00°
Space group Pmm2 (No. 25)
One atom of each set of equivalent atoms:
Si1 0.000 0.000 0.000 [1 per cell]
Si2 0.500 0.500 0.094 [1 per cell]
Pb1 0.500 0.500 0.405 [1 per cell]
Cl1 0.000 0.000 0.766 [1 per cell]

Values from the calculation:
Energy relative to the lowest polymorph listed for this composition ... 0.024 eV/atom
Uncorrected formation energy ... -56 meV/atom

# 3
Computed, not measured: a relaxed SiPb2Cl crystal at the PBE-GGA level of DFT.

a = 6.737 Å, b = 6.737 Å, c = 13.393 Å
α = 90.00°, β = 90.00°, γ = 90.00°
Space group I-42d (No. 122)
One atom of each set of equivalent atoms:
Si1 0.000 0.000 0.000 [4 per cell]
Pb1 0.221 0.250 0.125 [8 per cell]
Cl1 0.000 0.000 0.500 [4 per cell]

Values from the calculation:
Energy relative to the lowest polymorph listed for this composition ... 0.262 eV/atom
Uncorrected formation energy ... 127 meV/atom

# 4
Computed, not measured: a relaxed Si2PbCl crystal at the PBE-GGA level of DFT.

a = 3.479 Å, b = 3.479 Å, c = 8.207 Å
α = 90.00°, β = 90.00°, γ = 90.00°
Space group P4mm (No. 99)
One atom of each set of equivalent atoms:
Si1 0.000 0.000 0.000 [1 per cell]
Si2 0.500 0.500 0.053 [1 per cell]
Pb1 0.500 0.500 0.680 [1 per cell]
Cl1 0.000 0.000 0.467 [1 per cell]

Values from the calculation:
Energy relative to the lowest polymorph listed for this composition ... 0.195 eV/atom
Uncorrected formation energy ... 116 meV/atom

# 5
Computed, not measured: a relaxed SiPbCl crystal at the PBE-GGA level of DFT.

a = 4.9813 Å, b = 4.9813 Å, c = 3.2794 Å
α = 90.00°, β = 90.00°, γ = 120.00°
Space group P-6m2 (No. 187)
One atom of each set of equivalent atoms:
Si1 0.0000 0.0000 0.0000 [1 per cell]
Pb1 0.3333 0.6667 0.5000 [1 per cell]
Cl1 0.6667 0.3333 0.0000 [1 per cell]

Values from the calculation:
Energy relative to the lowest polymorph listed for this composition ... 0.175 eV/atom
Uncorrected formation energy ... 198 meV/atom

# 6
Computed, not measured: a relaxed Si2PbCl crystal at the PBE-GGA level of DFT.

a = 6.973 Å, b = 6.973 Å, c = 6.973 Å
α = 90.00°, β = 90.00°, γ = 90.00°
Space group F-43m (No. 216)
One atom of each set of equivalent atoms:
Si1 0.000 0.000 0.000 [4 per cell]
Si2 0.250 0.250 0.250 [4 per cell]
Pb1 0.000 0.000 0.500 [4 per cell]
Cl1 0.250 0.250 0.750 [4 per cell]

Values from the calculation:
Energy relative to the lowest polymorph listed for this composition ... 0.472 eV/atom
Uncorrected formation energy ... 393 meV/atom

# 7
Computed, not measured: a relaxed Si4PbCl crystal at the PBE-GGA level of DFT.

a = 7.710 Å, b = 7.710 Å, c = 7.710 Å
α = 90.00°, β = 90.00°, γ = 90.00°
Space group F-43m (No. 216)
One atom of each set of equivalent atoms:
Si1 0.122 0.122 0.122 [16 per cell]
Pb1 0.000 0.000 0.500 [4 per cell]
Cl1 0.250 0.250 0.750 [4 per cell]

Values from the calculation:
Uncorrected formation energy ... 424 meV/atom

# 8
Computed, not measured: a relaxed Si3PbCl crystal at the PBE-GGA level of DFT.

a = 4.899 Å, b = 4.899 Å, c = 4.899 Å
α = 90.00°, β = 90.00°, γ = 90.00°
Space group Pm-3m (No. 221)
One atom of each set of equivalent atoms:
Si1 0.000 0.000 0.500 [3 per cell]
Pb1 0.500 0.500 0.500 [1 per cell]
Cl1 0.000 0.000 0.000 [1 per cell]

Values from the calculation:
Energy relative to the lowest polymorph listed for this composition ... 0.000 eV/atom
Uncorrected formation energy ... 980 meV/atom

# 9
Computed, not measured: a relaxed SiPbCl crystal at the PBE-GGA level of DFT.

a = 3.550 Å, b = 4.817 Å, c = 10.121 Å
α = 90.00°, β = 90.00°, γ = 90.00°
Space group Imm2 (No. 44)
One atom of each set of equivalent atoms:
Si1 0.000 0.000 0.000 [2 per cell]
Pb1 0.000 0.000 0.468 [2 per cell]
Cl1 0.000 0.000 0.777 [2 per cell]

Values from the calculation:
Energy relative to the lowest polymorph listed for this composition ... 0.000 eV/atom
Uncorrected formation energy ... 23 meV/atom

# 10
Computed, not measured: a relaxed SiPbCl crystal at the PBE-GGA level of DFT.

a = 3.330 Å, b = 3.330 Å, c = 13.151 Å
α = 90.00°, β = 90.00°, γ = 90.00°
Space group I4mm (No. 107)
One atom of each set of equivalent atoms:
Si1 0.000 0.000 0.000 [2 per cell]
Pb1 0.000 0.000 0.659 [2 per cell]
Cl1 0.000 0.000 0.367 [2 per cell]

Values from the calculation:
Energy relative to the lowest polymorph listed for this composition ... 0.200 eV/atom
Uncorrected formation energy ... 224 meV/atom

# 11
Computed, not measured: a relaxed Si2PbCl crystal at the PBE-GGA level of DFT.

a = 6.995 Å, b = 6.995 Å, c = 6.995 Å
α = 90.00°, β = 90.00°, γ = 90.00°
Space group Fm-3m (No. 225)
One atom of each set of equivalent atoms:
Si1 0.250 0.250 0.250 [8 per cell]
Pb1 0.000 0.000 0.000 [4 per cell]
Cl1 0.000 0.000 0.500 [4 per cell]

Values from the calculation:
Energy relative to the lowest polymorph listed for this composition ... 0.616 eV/atom
Uncorrected formation energy ... 537 meV/atom

# 12
Computed, not measured: a relaxed SiPbCl3 crystal at the PBE-GGA level of DFT.

a = 5.600 Å, b = 5.600 Å, c = 5.600 Å
α = 90.00°, β = 90.00°, γ = 90.00°
Space group Pm-3m (No. 221)
One atom of each set of equivalent atoms:
Si1 0.000 0.000 0.000 [1 per cell]
Pb1 0.500 0.500 0.500 [1 per cell]
Cl1 0.000 0.500 0.500 [3 per cell]

Values from the calculation:
Energy relative to the lowest polymorph listed for this composition ... 0.302 eV/atom
Uncorrected formation energy ... -47 meV/atom

# 13
Computed, not measured: a relaxed Si2PbCl crystal at the PBE-GGA level of DFT.

a = 3.2258 Å, b = 3.2258 Å, c = 29.5779 Å
α = 90.00°, β = 90.00°, γ = 120.00°
Space group R-3m (No. 166, hexagonal axes)
One atom of each set of equivalent atoms:
Si1 0.0000 0.0000 0.2394 [6 per cell]
Pb1 0.0000 0.0000 0.0000 [3 per cell]
Cl1 0.0000 0.0000 0.5000 [3 per cell]

Values from the calculation:
Energy relative to the lowest polymorph listed for this composition ... 0.624 eV/atom
Uncorrected formation energy ... 545 meV/atom

# 14
Computed, not measured: a relaxed SiPb2Cl crystal at the PBE-GGA level of DFT.

a = 3.412 Å, b = 4.936 Å, c = 13.100 Å
α = 90.00°, β = 90.00°, γ = 90.00°
Space group Immm (No. 71)
One atom of each set of equivalent atoms:
Si1 0.000 0.000 0.000 [2 per cell]
Pb1 0.000 0.500 0.311 [4 per cell]
Cl1 0.000 0.000 0.500 [2 per cell]

Values from the calculation:
Energy relative to the lowest polymorph listed for this composition ... 0.252 eV/atom
Uncorrected formation energy ... 117 meV/atom

# 15
Computed, not measured: a relaxed SiPbCl crystal at the PBE-GGA level of DFT.

a = 3.342 Å, b = 5.817 Å, c = 15.007 Å
α = 90.00°, β = 90.00°, γ = 90.00°
Space group Fmm2 (No. 42)
One atom of each set of equivalent atoms:
Si1 0.000 0.000 0.000 [4 per cell]
Pb1 0.000 0.000 0.673 [4 per cell]
Cl1 0.000 0.000 0.374 [4 per cell]

Values from the calculation:
Energy relative to the lowest polymorph listed for this composition ... 0.147 eV/atom
Uncorrected formation energy ... 171 meV/atom